1.
Density functional theory data (PBE) for a relaxed Ho4Bi2PSe crystal.

POSCAR file:
```
Ho4Bi2PSe
1.0
-1.7469 0.4494 3.8071
-6.6172 -1.7397 -2.8309
-0.9499 -7.2308 0.4178
Bi Ho P Se
2 4 1 1
Cartesian
-0.9499 -7.2308 0.4178
-1.3484 -3.3907 2.1124
-5.9040 -2.9688 -0.0277
-3.7950 -1.8501 3.1388
-3.4101 -5.5522 1.4216
-5.5190 -6.6709 -1.7448
-3.7836 -4.4853 -1.2065
-4.1821 -0.6451 0.4881
```

Output
energy relative to the elements, uncorrected	-1.24	eV/atom
space group	P2/m (10)

2.
Density functional theory data (PBE) for a relaxed DyPa3Tl4O12 crystal.

POSCAR file:
```
DyPa3Tl4O12
1.0
7.6355 0.0000 0.0000
-2.5452 7.1989 0.0000
-2.5452 -3.5994 6.2344
O Tl Pa Dy
12 4 3 1
Cartesian
1.3163 -0.9308 1.6122
3.7740 -2.6686 4.6222
-3.7740 2.6686 4.6222
1.3163 1.8616 0.0000
3.8178 0.0000 3.1172
1.2726 4.4993 1.5586
1.2726 -0.8999 4.6758
-1.2726 0.8999 4.6758
3.8178 2.6996 1.5586
-1.3163 0.9308 1.6122
3.7740 5.3373 0.0000
-1.2726 3.5994 3.1172
-1.2726 -1.7997 3.1172
1.2726 1.7997 3.1172
-1.2726 3.5994 0.0000
3.8178 0.0000 0.0000
2.5452 -1.7997 3.1172
2.5452 3.5994 0.0000
-2.5452 1.7997 3.1172
0.0000 0.0000 0.0000
```

Output
energy relative to the elements, uncorrected	-2.49	eV/atom
space group	Im-3m (229)

3.
Density functional theory data (PBE) for a relaxed Ba2ZrTi crystal.

POSCAR file:
```
Ba2ZrTi
1.0
3.4741 -0.8361 4.4066
0.4475 3.9491 4.0486
-2.1473 -0.9721 5.1605
Ba Ti Zr
2 1 1
Cartesian
1.3308 1.6056 10.2118
0.4436 0.5352 3.4039
0.0000 0.0000 0.0000
0.8872 1.0704 6.8079
```

Output
energy of formation from the pure elements	0.997	eV per atom
space group	Fm-3m (225)
relative energy among the computed polymorphs	0.000	eV per atom

4.
Density functional theory data (PBE) for a relaxed SiPRu2 crystal.

POSCAR file:
```
SiPRu2
1.0
5.3340 0.0000 0.0000
0.0000 5.3340 0.0000
2.6670 2.6670 5.1290
P Ru Si
2 4 2
Cartesian
0.0000 0.0000 0.0000
5.3340 2.6670 2.5645
6.6675 6.7350 3.8467
1.2659 4.0005 1.2822
4.0005 3.9329 3.8467
4.0680 1.3335 1.2822
2.6670 5.3340 2.5645
2.6670 2.6670 0.0000
```

Output
energy relative to the elements, uncorrected	-0.03	eV/atom
space group	I-42d (122)
relative energy among the computed polymorphs	0.450	eV per atom

5.
Density functional theory data (PBE) for a relaxed InGaTc2 crystal.

POSCAR file:
```
InGaTc2
1.0
0.0000 3.1740 3.1740
3.1740 0.0000 3.1740
3.1740 3.1740 0.0000
Tc Ga In
2 1 1
Cartesian
4.7610 4.7610 4.7610
1.5870 1.5870 1.5870
0.0000 0.0000 0.0000
3.1740 3.1740 3.1740
```

Output
energy of formation from the pure elements	0.269	eV per atom
space group	Fm-3m (225)
relative energy among the computed polymorphs	0.000	eV per atom

6.
Density functional theory data (PBE) for a relaxed VMoAs2Se crystal.

POSCAR file:
```
VMoAs2Se
1.0
-4.4493 0.9022 1.3094
-0.5871 -4.5479 1.1387
1.5007 0.9237 4.4631
Se V As Mo
1 1 2 1
Cartesian
0.7504 0.4619 2.2315
0.0000 0.0000 0.0000
-0.2935 -2.2740 0.5693
-2.2247 0.4511 0.6547
-1.7678 -1.3610 3.4556
```

Output
energy relative to the elements, uncorrected	0.69	eV/atom
space group	P4/mmm (123)
relative energy among the computed polymorphs	0.000	eV per atom

7.
Density functional theory data (PBE) for a relaxed Be2IrRu crystal.

POSCAR file:
```
Be2IrRu
1.0
4.4981 0.0006 0.0111
3.6687 2.6026 0.0111
1.1839 0.3774 3.8475
Be Ru Ir
2 1 1
Cartesian
0.1189 0.0379 0.1366
6.9060 2.2013 2.7565
2.3116 0.7368 0.7453
4.6896 1.4948 2.1663
```

Output
energy of formation from the pure elements	-0.290	eV per atom
space group	Cm (8)

8.
Density functional theory data (PBE) for a relaxed InGa2FeSn crystal.

POSCAR file:
```
InGa2FeSn
1.0
4.6952 0.0000 0.0000
0.0000 4.6952 0.0000
0.0000 0.0000 4.9809
Sn Ga In Fe
1 2 1 1
Cartesian
0.0000 0.0000 2.4905
2.3476 0.0000 0.0000
0.0000 2.3476 0.0000
2.3476 2.3476 2.4905
0.0000 0.0000 0.0000
```

Output
energy of formation from the pure elements	0.057	eV per atom
space group	P4/mmm (123)

| no. | total energy (Ry/atom) | spin magnetization (μB per formula unit) |
| --- | --- | --- |
| 1 | -0.4124 | 0.00 |
| 2 | -0.5578 | 0.00 |
| 3 | -0.2996 | 0.00 |
| 4 | -0.5418 | 0.00 |
| 5 | -0.4671 | 1.62 |
| 6 | -0.4301 | 3.84 |
| 7 | -0.4915 | 0.00 |
| 8 | -0.3083 | 0.93 |